CdOsCl2, optimized geometry, DFT PBE-GGA; DOS at the Fermi energy = 1.722 states/eV per cell; raw formation energy = 0.73 eV/atom
1.0
3.113 0.000 0.000
0.000 3.113 0.000
0.000 0.000 9.438
Cl Cd Os
2 1 1
direct
0.000 0.000 0.073 Cl
0.000 0.000 0.427 Cl
0.500 0.500 0.750 Cd
0.500 0.500 0.250 Os